## Ni2HgO3 (PBE+U)

Data for crystalline Ni2HgO3 at its relaxed geometry.

a = 5.456 Å, b = 5.456 Å, c = 5.478 Å
α = 90.00°, β = 90.00°, γ = 60.00°
Element x y z (fractional)
1 Ni 0.833 0.333 0.500
2 Ni 0.833 0.333 0.000
3 Ni 0.167 0.667 0.000
4 Ni 0.167 0.667 0.500
5 O 0.500 0.402 0.250
6 O 0.098 0.402 0.750
7 O 0.500 0.598 0.750
8 O 0.902 0.000 0.750
9 O 0.902 0.598 0.250
10 O 0.098 0.000 0.250
11 Hg 0.500 0.000 0.750
12 Hg 0.500 0.000 0.250

Results
For the total energy, the calculation gives -0.14803 hartree per atom.